The following is a PBE-GGA calculation of a relaxed structure of Ce2Th3Pb4, from the Alexandria database.

It has space group P2_1/c (No. 14), with a = 8.727 Å, b = 8.646 Å, c = 8.414 Å, α = 90.00°, β = 112.79° and γ = 90.00°. The distinct sites, in fractional coordinates, are Ce at (0.198, 0.175, 0.056), Th at (0.243, 0.671, 0.226), Th at (0.500, 0.000, 0.500), Pb at (0.084, 0.528, 0.823) and Pb at (0.485, 0.136, 0.864).

As for the formation energy from the elements: -0.320 eV per atom. Its density of states at the Fermi level is 39.246 states/eV/cell. The value obtained for the size of the total moment is 3.0 μB/f.u.